{
  "formula": "Sm2BiPd",
  "functional": "PBE",
  "state": "relaxed",
  "lattice": [[-4.3806, -0.4636, -0.0294], [-1.7896, -4.0245, 0.0837], [-2.1229, -1.3195, 7.0904]],
  "species": ["Sm", "Sm", "Pd", "Bi"],
  "fractional_positions": [[0.7404, 0.7404, 0.7787], [0.2596, 0.2596, 0.2213], [0.0000, 0.0000, 0.0000], [0.5000, 0.5000, 0.5000]],
  "vol_a3_per_atom": 29.7,
  "density_g_cm3": 8.6,
  "formation_enthalpy_0k_kj_per_mol_fu": -270,
  "de_polymorph_mev_per_atom": 95.4
}



{
  "formula": "Er7Ag2Te2",
  "functional": "PBE",
  "state": "relaxed",
  "lattice": [[6.6170, -0.0048, -0.7371], [0.0017, 7.5643, 0.0049], [-1.1479, -0.0002, 6.5582]],
  "species": ["Er", "Er", "Er", "Er", "Er", "Er", "Er", "Ag", "Ag", "Te", "Te"],
  "fractional_positions": [[0.0001, 0.2862, 0.5003], [0.5000, 0.7225, 0.5000], [0.0000, 0.0000, 0.0000], [0.5000, 0.2775, 0.5000], [0.9999, 0.7138, 0.4997], [0.5003, 0.7138, 0.0001], [0.4997, 0.2862, 0.9999], [0.8205, 0.5000, 0.8205], [0.1795, 0.5000, 0.1795], [0.2856, 0.9998, 0.7144], [0.7144, 0.0002, 0.2856]],
  "vol_a3_per_atom": 29.3,
  "raw_formation_energy_ev_per_atom": -0.236,
  "density_g_cm3": 8.5,
  "de_polymorph_mev_per_atom": 333.7
}



{
  "formula": "Li3YZr",
  "functional": "PBE",
  "state": "relaxed",
  "lattice": [[5.0378, 0.0000, 0.0000], [0.0000, 5.0378, 0.0000], [0.0000, 0.0000, 5.0378]],
  "species": ["Li", "Li", "Li", "Y", "Zr"],
  "fractional_positions": [[0.0000, 0.0000, 0.5000], [0.5000, 0.0000, 0.0000], [0.0000, 0.5000, 0.0000], [0.5000, 0.5000, 0.5000], [0.0000, 0.0000, 0.0000]],
  "vol_a3_per_atom": 25.6,
  "density_g_cm3": 2.6,
  "formation_enthalpy_0k_kj_per_mol_fu": 466,
  "de_polymorph_mev_per_atom": 0.0
}



{
  "formula": "GaIrS2N",
  "functional": "PBE",
  "state": "relaxed",
  "lattice": [[-2.0895, 3.5909, -2.6385], [2.5201, -1.4511, -3.9706], [-2.7313, -2.2570, -0.9087]],
  "species": ["S", "S", "Ir", "N", "Ga"],
  "fractional_positions": [[0.5000, 0.0000, 0.0000], [0.0000, 0.5000, 0.0000], [0.0000, 0.0000, 0.0000], [0.0000, 0.0000, 0.5000], [0.5000, 0.5000, 0.5000]],
  "vol_a3_per_atom": 17.7,
  "raw_formation_energy_ev_per_atom": 0.363,
  "density_g_cm3": 6.4,
  "de_polymorph_mev_per_atom": 0.0
}



{
  "formula": "SrTlTe2",
  "functional": "PBE",
  "state": "relaxed",
  "lattice": [[7.1556, 0.0000, 0.0000], [0.0000, 7.1556, 0.0000], [3.5778, 3.5778, 7.6689]],
  "species": ["Tl", "Tl", "Te", "Te", "Te", "Te", "Sr", "Sr"],
  "fractional_positions": [[0.0000, 0.0000, 0.0000], [0.7500, 0.2500, 0.5000], [0.3750, 0.3551, 0.7500], [0.1051, 0.6250, 0.2500], [0.8750, 0.8949, 0.7500], [0.6449, 0.1250, 0.2500], [0.2500, 0.7500, 0.5000], [0.5000, 0.5000, 0.0000]],
  "vol_a3_per_atom": 49.1,
  "raw_formation_energy_ev_per_atom": -0.753,
  "density_g_cm3": 4.6
}



{
  "formula": "GdErOsRh",
  "functional": "PBE",
  "state": "relaxed",
  "lattice": [[4.8319, 0.0000, 0.0000], [2.4159, 4.1845, 0.0000], [2.4159, 1.3948, 3.9452]],
  "species": ["Gd", "Rh", "Er", "Os"],
  "fractional_positions": [[0.7500, 0.7500, 0.7500], [0.0000, 0.0000, 0.0000], [0.2500, 0.2500, 0.2500], [0.5000, 0.5000, 0.5000]],
  "vol_a3_per_atom": 19.9,
  "density_g_cm3": 12.9,
  "formation_enthalpy_0k_kj_per_mol_fu": -178
}



no.,final energy (eV per atom)
1,-5.33
2,-4.23
3,-3.18
4,-5.33
5,-3.34
6,-9.77